Entry from the Alexandria database: SrPaWO6 after structural relaxation (PBE+U).

Values from the calculation:
N(E_F) ... 0.00 states/eV/cell
Final energy ... -8.2552 eV/atom

a = 5.6983 Å, b = 5.6983 Å, c = 10.3559 Å
α = 90.00°, β = 90.00°, γ = 120.00°
With the nearest neighbours (Å) after each atom.
Sites, in units of the cell vectors:
Sr 0.0000 0.0000 0.0000  6 O 2.59
Sr 0.0000 0.0000 0.5000  6 O 2.59
Pa 0.3333 0.6667 0.2500  6 O 2.19
Pa 0.6667 0.3333 0.7500  6 O 2.19
W 0.3333 0.6667 0.7500  6 O 2.02
W 0.6667 0.3333 0.2500  6 O 2.02
O 0.0216 0.3790 0.6463  1 W 2.02, 1 Pa 2.19
O 0.0216 0.6426 0.8537  1 W 2.02, 1 Pa 2.19
O 0.3574 0.3790 0.8537  1 W 2.02, 1 Pa 2.19
O 0.3574 0.9784 0.6463  1 W 2.02, 1 Pa 2.19
O 0.3790 0.0216 0.1463  1 W 2.02, 1 Pa 2.19
O 0.3790 0.3574 0.3537  1 W 2.02, 1 Pa 2.19
O 0.6210 0.6426 0.6463  1 W 2.02, 1 Pa 2.19
O 0.6210 0.9784 0.8537  1 W 2.02, 1 Pa 2.19
O 0.6426 0.0216 0.3537  1 W 2.02, 1 Pa 2.19
O 0.6426 0.6210 0.1463  1 W 2.02, 1 Pa 2.19
O 0.9784 0.3574 0.1463  1 W 2.02, 1 Pa 2.19
O 0.9784 0.6210 0.3537  1 W 2.02, 1 Pa 2.19